ReSiCl: optimized geometry, PBE.

Cell and atoms, written as CIF:
```
data_ReSiCl
_chemical_formula_sum 'Re1 Si1 Cl1'
_symmetry_space_group_name_H-M 'P 1'
_symmetry_Int_Tables_number 1
_symmetry_space_group_name_Hall 'P 1'
_cell_length_a 4.4055
_cell_length_b 4.4055
_cell_length_c 2.7741
_cell_angle_alpha 90.00
_cell_angle_beta 90.00
_cell_angle_gamma 120.00
loop_
_atom_site_label
_atom_site_fract_x
_atom_site_fract_y
_atom_site_fract_z
Re1 0.0000 0.0000 0.0000
Si1 0.3333 0.6667 0.2396
Cl1 0.6667 0.3333 0.9296
```

Values from the calculation:
* V: 46.6 Å³ per cell
* total moment: 0.0 μB/cell
* D(E_F): 0.584 states/eV per atom
* E_form (uncorrected): 65.96 kJ/mol of atoms

***

SrTaTl: optimized geometry, PBE.

Cell and atoms, written as CIF:
```
data_SrTaTl
_chemical_formula_sum 'Sr1 Ta1 Tl1'
_symmetry_space_group_name_H-M 'P 1'
_symmetry_Int_Tables_number 1
_symmetry_space_group_name_Hall 'P 1'
_cell_length_a 5.3062
_cell_length_b 5.3062
_cell_length_c 3.2658
_cell_angle_alpha 90.00
_cell_angle_beta 90.00
_cell_angle_gamma 120.00
loop_
_atom_site_label
_atom_site_fract_x
_atom_site_fract_y
_atom_site_fract_z
Sr1 0.0000 0.0000 0.0000
Ta1 0.6667 0.3333 0.5000
Tl1 0.3333 0.6667 0.5000
```

Values from the calculation:
* V: 79.6 Å³ per cell
* total moment: 1.3 μB/cell
* D(E_F): 1.094 states/eV per atom
* ΔE_f: 746 meV/atom